No. 1
NiAgSe2O8: optimized geometry, GGA+U.

Output
- density (Mg/m³) = 4.62

abc: 4.9120 4.9120 23.3593
angles: 90.00 90.00 120.00
With the nearest neighbours (Å) after each atom.
Space group R-3 (No. 148, hexagonal axes)
One atom of each set of equivalent atoms:
Ni 0.0000 0.0000 0.0000  6 O 1.99
Ag 0.0000 0.0000 0.5000  12 O 2.88-3.20
Se 0.0000 0.0000 0.2596  4 O 1.66-1.69
O 0.0000 0.0000 0.1887  1 Se 1.66
O 0.0014 0.6506 0.6157  1 Se 1.69



No. 2
SiNiAg2O: optimized geometry, GGA+U.

Output
- density (Mg/m³) = 6.56
- D(E_F) (states/eV/f.u.) = 1.914

abc: 4.9052 4.9052 3.3533
angles: 90.00 90.00 90.00
With the nearest neighbours (Å) after each atom.
Space group P4/mmm (No. 123)
One atom of each set of equivalent atoms:
Si 0.0000 0.0000 0.0000  2 O 1.68
Ni 0.5000 0.5000 0.5000  8 Ag 2.97
Ag 0.0000 0.5000 0.0000  2 Si 2.45
O 0.0000 0.0000 0.5000  2 Si 1.68



No. 3
NiAg2SnO: optimized geometry, GGA+U.

Output
- density (Mg/m³) = 7.64
- D(E_F) (states/eV/f.u.) = 2.066

abc: 4.3035 4.3035 4.7990
angles: 90.00 90.00 90.00
With the nearest neighbours (Å) after each atom.
Space group P4/mmm (No. 123)
One atom of each set of equivalent atoms:
Ni 0.0000 0.0000 0.0000  4 Sn 3.04, 8 Ag 3.22
Ag 0.0000 0.5000 0.5000  2 O 2.15
Sn 0.5000 0.5000 0.0000  2 O 2.40
O 0.5000 0.5000 0.5000  4 Ag 2.15, 2 Sn 2.40



No. 4
NiAgSn2O: optimized geometry, GGA+U.

Output
- density (Mg/m³) = 6.51
- D(E_F) (states/eV/f.u.) = 3.956

abc: 4.7328 4.7328 4.7844
angles: 90.00 90.00 90.00
With the nearest neighbours (Å) after each atom.
Space group P4/mmm (No. 123)
One atom of each set of equivalent atoms:
Ni 0.0000 0.0000 0.0000  4 Sn 2.37, 2 Ag 2.39
Ag 0.0000 0.0000 0.5000  2 Ni 2.39
Sn 0.0000 0.5000 0.0000  2 Ni 2.37
O 0.5000 0.5000 0.5000  4 Ag 3.35, 8 Sn 3.36



No. 5
Tc2NiAgO8: optimized geometry, GGA+U.

Output
- density (Mg/m³) = 4.39
- D(E_F) (states/eV/f.u.) = 5.090

abc: 5.7767 5.7767 6.4155
angles: 90.00 90.00 120.00
With the nearest neighbours (Å) after each atom.
Space group P-3m1 (No. 164)
One atom of each set of equivalent atoms:
Tc 0.3333 0.6667 0.2261  4 O 1.73-1.78
Ni 0.0000 0.0000 0.5000  6 O 2.06
Ag 0.0000 0.0000 0.0000  6 O 2.55
O 0.1632 0.3264 0.3048  1 Tc 1.78
O 0.3333 0.6667 0.9559  1 Tc 1.73



No. 6
TcNiAgO4: optimized geometry, GGA+U.

Output
- density (Mg/m³) = 5.12

abc: 5.6695 6.1928 6.6778
angles: 90.00 114.57 90.00
With the nearest neighbours (Å) after each atom.
Space group P2_1/m (No. 11)
One atom of each set of equivalent atoms:
Tc 0.1865 0.2500 0.3172  4 O 1.78-1.92
Ni 0.2288 0.7500 0.4520  4 O 1.98-2.01
Ag 0.4467 0.2500 0.9206  2 O 2.12-2.13
O 0.0231 0.5032 0.2666  1 Tc 1.78
O 0.4551 0.2500 0.6048  1 Tc 1.89, 1 Ni 1.98
O 0.4847 0.2500 0.2499  1 Tc 1.92, 1 Ni 1.98, 1 Ag 2.12



No. 7
Ni2AgTeO6: optimized geometry, GGA+U.

Output
- density (Mg/m³) = 6.36
- D(E_F) (states/eV/f.u.) = 6.207

abc: 5.2977 5.2977 14.4557
angles: 90.00 90.00 120.00
With the nearest neighbours (Å) after each atom.
Space group R3 (No. 146, hexagonal axes)
One atom of each set of equivalent atoms:
Ni 0.0000 0.0000 0.0000  6 O 2.04-2.16
Ni 0.0000 0.0000 0.4881  6 O 2.08-2.20
Ag 0.0000 0.0000 0.2053  6 O 2.23-2.45
Te 0.0000 0.0000 0.6886  6 O 1.96-1.99
O 0.0042 0.3487 0.4204  1 Te 1.96, 2 Ni 2.08-2.16
O 0.0332 0.6311 0.2656  1 Te 1.99, 2 Ni 2.04-2.20



No. 8
Ni2Ag2TeO6: optimized geometry, GGA+U.

Output
- density (Mg/m³) = 6.48
- D(E_F) (states/eV/f.u.) = 0.618

abc: 5.3526 9.0869 6.4157
angles: 90.00 113.90 90.00
With the nearest neighbours (Å) after each atom.
Space group C2/m (No. 12)
One atom of each set of equivalent atoms:
Ni 0.0000 0.1659 0.0000  6 O 2.09-2.12
Ag 0.0000 0.1840 0.5000  4 O 2.41-2.50
Te 0.0000 0.5000 0.0000  6 O 1.97-1.98
O 0.0721 0.3413 0.8218  1 Te 1.97, 2 Ni 2.09-2.11
O 0.1004 0.0000 0.8137  1 Te 1.98, 2 Ni 2.12



No. 9
NiAg2TeO4: optimized geometry, GGA+U.

Output
- density (Mg/m³) = 6.38

abc: 4.9800 5.0178 5.6169
angles: 73.91 64.90 88.89
With the nearest neighbours (Å) after each atom.
Space group P1 (No. 1)
One atom of each set of equivalent atoms:
Ni 0.0000 0.0000 0.0000  4 O 1.95-2.00
Ag 0.2607 0.8032 0.4970  3 O 2.20-2.46
Ag 0.5663 0.6088 0.0015  2 O 2.19-2.24
Te 0.6947 0.3488 0.5355  3 O 1.89-2.04
O 0.0034 0.6881 0.2976  1 Ni 1.95, 1 Te 2.04
O 0.4230 0.9585 0.7666  1 Ni 2.00, 1 Te 2.13, 1 Ag 2.19
O 0.7624 0.2597 0.1964  1 Te 1.97, 1 Ni 1.99
O 0.9919 0.1901 0.6390  1 Te 1.89, 1 Ni 2.00



No. 10
TiNiAg2O: optimized geometry, GGA+U.

Output
- density (Mg/m³) = 7.12
- D(E_F) (states/eV/f.u.) = 6.609

abc: 4.6892 4.6892 3.5860
angles: 90.00 90.00 90.00
With the nearest neighbours (Å) after each atom.
Space group P4/mmm (No. 123)
One atom of each set of equivalent atoms:
Ti 0.0000 0.0000 0.0000  8 Ag 2.95
Ni 0.5000 0.5000 0.0000  2 O 1.79
Ag 0.0000 0.5000 0.5000  2 O 2.34
O 0.5000 0.5000 0.5000  2 Ni 1.79



No. 11
UNiAg2O6: optimized geometry, GGA+U.

Output
- density (Mg/m³) = 8.21

abc: 7.8955 7.8955 7.8955
angles: 90.00 90.00 90.00
With the nearest neighbours (Å) after each atom.
Space group Fm-3m (No. 225)
One atom of each set of equivalent atoms:
U 0.0000 0.0000 0.0000  6 O 2.07
Ni 0.0000 0.0000 0.5000  6 O 1.88
Ag 0.2500 0.2500 0.2500  12 O 2.79
O 0.0000 0.0000 0.2619  1 Ni 1.88, 1 U 2.07



No. 12
VNiAgO4: optimized geometry, GGA+U.

Output
- density (Mg/m³) = 4.69
- D(E_F) (states/eV/f.u.) = 0.000

abc: 5.4537 5.7841 6.7887
angles: 90.00 111.49 90.00
With the nearest neighbours (Å) after each atom.
Space group P2_1/m (No. 11)
One atom of each set of equivalent atoms:
V 0.1131 0.2500 0.3387  4 O 1.74-1.77
Ni 0.2861 0.7500 0.5023  4 O 2.01-2.09
Ag 0.4685 0.2500 0.8972  2 O 2.15-2.19
O 0.1259 0.2500 0.5997  1 V 1.75
O 0.2348 0.7500 0.7899  1 V 1.77
O 0.2877 0.0096 0.3067  1 V 1.74



no.,total DFT energy (no corrections) (hartree per atom)
1,-0.176
2,-0.122
3,-0.109
4,-0.112
5,-0.242
6,-0.215
7,-0.180
8,-0.175
9,-0.165
10,-0.138
11,-0.227
12,-0.214